[1]
# PBE KCrP, optimized geometry
data_KCrP
_chemical_formula_sum 'K2 Cr2 P2'
_cell_length_a 3.4152
_cell_length_b 3.4152
_cell_length_c 11.9806
_cell_angle_alpha 90.00
_cell_angle_beta 90.00
_cell_angle_gamma 90.00
_space_group_name_H-M_alt 'I 4 m m'
_space_group_IT_number 107
_space_group_name_Hall 'I 4 -2'
loop_
_atom_site_label
_atom_site_fract_x
_atom_site_fract_y
_atom_site_fract_z
_atom_site_occupancy
K1 0.0000 0.0000 0.0000 1
Cr1 0.0000 0.0000 0.7380 1
P1 0.0000 0.0000 0.2831 1
# N(E_F) = 0.411 states/eV/f.u.
# DFT formation energy = 20 meV per atom



[2]
# PBE KCrP2, optimized geometry
data_KCrP2
_chemical_formula_sum 'K2 Cr2 P4'
_cell_length_a 7.5209
_cell_length_b 3.4043
_cell_length_c 6.6665
_cell_angle_alpha 90.00
_cell_angle_beta 102.73
_cell_angle_gamma 90.00
_space_group_name_H-M_alt 'C 1 2/m 1'
_space_group_IT_number 12
loop_
_space_group_symop_operation_xyz
'x,y,z'
'-x,-y,-z'
'-x,y,-z'
'x,-y,z'
'x+1/2,y+1/2,z'
'-x+1/2,-y+1/2,-z'
'-x+1/2,y+1/2,-z'
'x+1/2,-y+1/2,z'
loop_
_atom_site_label
_atom_site_fract_x
_atom_site_fract_y
_atom_site_fract_z
_atom_site_occupancy
K1 0.0000 0.0000 0.0000 1
Cr1 0.0000 0.5000 0.5000 1
P1 0.2261 0.0000 0.6330 1
# N(E_F) = 2.423 states/eV/f.u.
# DFT formation energy = -205 meV per atom



[3]
# PBE KCrP2, optimized geometry
data_KCrP2
_chemical_formula_sum 'K4 Cr4 P8'
_cell_length_a 5.6360
_cell_length_b 5.6360
_cell_length_c 13.0651
_cell_angle_alpha 90.00
_cell_angle_beta 90.00
_cell_angle_gamma 90.00
_space_group_name_H-M_alt 'I 41/a m d'
_space_group_IT_number 141
loop_
_space_group_symop_operation_xyz
'x,y,z'
'-x,-y,-z'
'-y+1/4,x+3/4,z+1/4'
'y+1/4,-x+3/4,-z+1/4'
'-x+1/2,-y,z+1/2'
'x+1/2,y,-z+1/2'
'y+1/4,-x+1/4,z+3/4'
'-y+1/4,x+1/4,-z+3/4'
'x,-y,-z'
'-x,y,z'
'-y+1/4,-x+1/4,-z+3/4'
'y+1/4,x+1/4,z+3/4'
'-x+1/2,y,-z+1/2'
'x+1/2,-y,z+1/2'
'y+1/4,x+3/4,-z+1/4'
'-y+1/4,-x+3/4,z+1/4'
'x+1/2,y+1/2,z+1/2'
'-x+1/2,-y+1/2,-z+1/2'
'-y+3/4,x+1/4,z+3/4'
'y+3/4,-x+1/4,-z+3/4'
'-x,-y+1/2,z'
'x,y+1/2,-z'
'y+3/4,-x+3/4,z+1/4'
'-y+3/4,x+3/4,-z+1/4'
'x+1/2,-y+1/2,-z+1/2'
'-x+1/2,y+1/2,z+1/2'
'-y+3/4,-x+3/4,-z+1/4'
'y+3/4,x+3/4,z+1/4'
'-x,y+1/2,-z'
'x,-y+1/2,z'
'y+3/4,x+1/4,-z+3/4'
'-y+3/4,-x+1/4,z+3/4'
loop_
_atom_site_label
_atom_site_fract_x
_atom_site_fract_y
_atom_site_fract_z
_atom_site_occupancy
K1 0.0000 0.2500 0.3750 1
Cr1 0.0000 0.2500 0.8750 1
P1 0.0000 0.0000 0.0000 1
# N(E_F) = 0.798 states/eV/f.u.
# DFT formation energy = -230 meV per atom



[4]
# PBE KCrP2, optimized geometry
data_KCrP2
_chemical_formula_sum 'K1 Cr1 P2'
_cell_length_a 3.1677
_cell_length_b 3.1677
_cell_length_c 7.6153
_cell_angle_alpha 90.00
_cell_angle_beta 90.00
_cell_angle_gamma 90.00
_space_group_name_H-M_alt 'P 4 m m'
_space_group_IT_number 99
loop_
_space_group_symop_operation_xyz
'x,y,z'
'-y,x,z'
'-x,-y,z'
'y,-x,z'
'-x,y,z'
'y,x,z'
'x,-y,z'
'-y,-x,z'
loop_
_atom_site_label
_atom_site_fract_x
_atom_site_fract_y
_atom_site_fract_z
_atom_site_occupancy
K1 0.0000 0.0000 0.0000 1
Cr1 0.5000 0.5000 0.6023 1
P1 0.0000 0.0000 0.5401 1
P2 0.5000 0.5000 0.3054 1
# N(E_F) = 2.616 states/eV/f.u.
# DFT formation energy = 180 meV per atom



[5]
# PBE KCrP, optimized geometry
data_KCrP
_chemical_formula_sum 'K2 Cr2 P2'
_cell_length_a 4.3705
_cell_length_b 6.5095
_cell_length_c 6.6382
_cell_angle_alpha 71.28
_cell_angle_beta 89.29
_cell_angle_gamma 87.27
_space_group_name_H-M_alt 'P -1'
_space_group_IT_number 2
loop_
_space_group_symop_operation_xyz
'x,y,z'
'-x,-y,-z'
loop_
_atom_site_label
_atom_site_fract_x
_atom_site_fract_y
_atom_site_fract_z
_atom_site_occupancy
K1 0.2433 0.3137 0.3188 1
Cr1 0.2453 0.0938 0.8766 1
P1 0.2578 0.8406 0.2132 1
# N(E_F) = 1.416 states/eV/f.u.
# DFT formation energy = -107 meV per atom



[6]
# PBE KCr4P, optimized geometry
data_KCr4P
_chemical_formula_sum 'K4 Cr16 P4'
_cell_length_a 7.0591
_cell_length_b 7.0591
_cell_length_c 7.0591
_cell_angle_alpha 90.00
_cell_angle_beta 90.00
_cell_angle_gamma 90.00
_space_group_name_H-M_alt 'F -4 3 m'
_space_group_IT_number 216
_space_group_name_Hall 'F -4 2 3'
loop_
_atom_site_label
_atom_site_fract_x
_atom_site_fract_y
_atom_site_fract_z
_atom_site_occupancy
K1 0.0000 0.0000 0.0000 1
Cr1 0.1206 0.1206 0.3794 1
P1 0.2500 0.2500 0.7500 1
# N(E_F) = 7.876 states/eV/f.u.
# DFT formation energy = 1162 meV per atom



[7]
# PBE K2CrP2, optimized geometry
data_K2CrP2
_chemical_formula_sum 'K4 Cr2 P4'
_cell_length_a 4.2496
_cell_length_b 4.2496
_cell_length_c 13.3449
_cell_angle_alpha 90.00
_cell_angle_beta 90.00
_cell_angle_gamma 90.00
_space_group_name_H-M_alt 'I 4/m m m'
_space_group_IT_number 139
_space_group_name_Hall '-I 4 2'
loop_
_atom_site_label
_atom_site_fract_x
_atom_site_fract_y
_atom_site_fract_z
_atom_site_occupancy
K1 0.0000 0.5000 0.2500 1
Cr1 0.0000 0.0000 0.0000 1
P1 0.0000 0.0000 0.4211 1
# N(E_F) = 1.760 states/eV/f.u.
# DFT formation energy = 446 meV per atom



[8]
# PBE KCrP2, optimized geometry
data_KCrP2
_chemical_formula_sum 'K2 Cr2 P4'
_cell_length_a 7.4903
_cell_length_b 3.3671
_cell_length_c 7.2991
_cell_angle_alpha 90.00
_cell_angle_beta 113.95
_cell_angle_gamma 90.00
_space_group_name_H-M_alt 'C 1 m 1'
_space_group_IT_number 8
loop_
_space_group_symop_operation_xyz
'x,y,z'
'x,-y,z'
'x+1/2,y+1/2,z'
'x+1/2,-y+1/2,z'
loop_
_atom_site_label
_atom_site_fract_x
_atom_site_fract_y
_atom_site_fract_z
_atom_site_occupancy
K1 0.0000 0.0000 0.0000 1
Cr1 0.2894 0.5000 0.4820 1
P1 0.1454 0.0000 0.6237 1
P2 0.4410 0.0000 0.3583 1
# N(E_F) = 2.759 states/eV/f.u.
# DFT formation energy = -180 meV per atom



[9]
# PBE KCrP2, optimized geometry
data_KCrP2
_chemical_formula_sum 'K1 Cr1 P2'
_cell_length_a 2.9745
_cell_length_b 2.9745
_cell_length_c 7.6172
_cell_angle_alpha 90.00
_cell_angle_beta 90.00
_cell_angle_gamma 90.00
_space_group_name_H-M_alt 'P 4/m m m'
_space_group_IT_number 123
_space_group_name_Hall '-P 4 2'
loop_
_atom_site_label
_atom_site_fract_x
_atom_site_fract_y
_atom_site_fract_z
_atom_site_occupancy
K1 0.0000 0.0000 0.0000 1
Cr1 0.0000 0.0000 0.5000 1
P1 0.5000 0.5000 0.3296 1
# N(E_F) = 3.697 states/eV/f.u.
# DFT formation energy = -136 meV per atom



[10]
# PBE KCrP2, optimized geometry
data_KCrP2
_chemical_formula_sum 'K1 Cr1 P2'
_cell_length_a 5.3331
_cell_length_b 5.3331
_cell_length_c 2.7463
_cell_angle_alpha 90.00
_cell_angle_beta 90.00
_cell_angle_gamma 90.00
_space_group_name_H-M_alt 'P 4/m m m'
_space_group_IT_number 123
_space_group_name_Hall '-P 4 2'
loop_
_atom_site_label
_atom_site_fract_x
_atom_site_fract_y
_atom_site_fract_z
_atom_site_occupancy
K1 0.0000 0.0000 0.0000 1
Cr1 0.5000 0.5000 0.0000 1
P1 0.0000 0.5000 0.5000 1
# N(E_F) = 3.050 states/eV/f.u.
# DFT formation energy = 580 meV per atom



[11]
# PBE KCrP, optimized geometry
data_KCrP
_chemical_formula_sum 'K4 Cr4 P4'
_cell_length_a 6.5341
_cell_length_b 6.5341
_cell_length_c 6.5341
_cell_angle_alpha 90.00
_cell_angle_beta 90.00
_cell_angle_gamma 90.00
_space_group_name_H-M_alt 'F -4 3 m'
_space_group_IT_number 216
_space_group_name_Hall 'F -4 2 3'
loop_
_atom_site_label
_atom_site_fract_x
_atom_site_fract_y
_atom_site_fract_z
_atom_site_occupancy
K1 0.0000 0.0000 0.0000 1
Cr1 0.2500 0.2500 0.2500 1
P1 0.0000 0.0000 0.5000 1
# N(E_F) = 2.040 states/eV/f.u.
# DFT formation energy = 533 meV per atom



[12]
# PBE KCrP2, optimized geometry
data_KCrP2
_chemical_formula_sum 'K1 Cr1 P2'
_cell_length_a 4.3330
_cell_length_b 4.3330
_cell_length_c 4.0941
_cell_angle_alpha 90.00
_cell_angle_beta 90.00
_cell_angle_gamma 90.00
_space_group_name_H-M_alt 'P 4/m m m'
_space_group_IT_number 123
_space_group_name_Hall '-P 4 2'
loop_
_atom_site_label
_atom_site_fract_x
_atom_site_fract_y
_atom_site_fract_z
_atom_site_occupancy
K1 0.0000 0.0000 0.0000 1
Cr1 0.5000 0.5000 0.0000 1
P1 0.0000 0.5000 0.5000 1
# N(E_F) = 1.991 states/eV/f.u.
# DFT formation energy = 591 meV per atom



[13]
# PBE KCrP2, optimized geometry
data_KCrP2
_chemical_formula_sum 'K1 Cr1 P2'
_cell_length_a 2.9360
_cell_length_b 3.3442
_cell_length_c 7.7923
_cell_angle_alpha 90.00
_cell_angle_beta 90.00
_cell_angle_gamma 90.00
_space_group_name_H-M_alt 'P m m 2'
_space_group_IT_number 25
loop_
_space_group_symop_operation_xyz
'x,y,z'
'-x,-y,z'
'-x,y,z'
'x,-y,z'
loop_
_atom_site_label
_atom_site_fract_x
_atom_site_fract_y
_atom_site_fract_z
_atom_site_occupancy
K1 0.0000 0.0000 0.0000 1
Cr1 0.0000 0.5000 0.4832 1
P1 0.5000 0.0000 0.3662 1
P2 0.5000 0.5000 0.7050 1
# N(E_F) = 2.309 states/eV/f.u.
# DFT formation energy = -101 meV per atom



[14]
# PBE K2CrPRu, optimized geometry
data_K2CrPRu
_chemical_formula_sum 'K2 Cr1 P1 Ru1'
_cell_length_a 6.2488
_cell_length_b 6.2488
_cell_length_c 4.5118
_cell_angle_alpha 90.00
_cell_angle_beta 90.00
_cell_angle_gamma 90.00
_space_group_name_H-M_alt 'P 4/m m m'
_space_group_IT_number 123
_space_group_name_Hall '-P 4 2'
loop_
_atom_site_label
_atom_site_fract_x
_atom_site_fract_y
_atom_site_fract_z
_atom_site_occupancy
K1 0.0000 0.5000 0.0000 1
Cr1 0.0000 0.0000 0.5000 1
P1 0.0000 0.0000 0.0000 1
Ru1 0.5000 0.5000 0.5000 1
# N(E_F) = 4.476 states/eV/f.u.
# DFT formation energy = 1031 meV per atom



[15]
# PBE KCrP2S7, optimized geometry
data_KCrP2S7
_chemical_formula_sum 'K2 Cr2 P4 S14'
_cell_length_a 8.6300
_cell_length_b 9.7667
_cell_length_c 6.5569
_cell_angle_alpha 90.00
_cell_angle_beta 97.36
_cell_angle_gamma 90.00
_space_group_name_H-M_alt 'C 1 2 1'
_space_group_IT_number 5
loop_
_space_group_symop_operation_xyz
'x,y,z'
'-x,y,-z'
'x+1/2,y+1/2,z'
'-x+1/2,y+1/2,-z'
loop_
_atom_site_label
_atom_site_fract_x
_atom_site_fract_y
_atom_site_fract_z
_atom_site_occupancy
K1 0.0000 0.0000 0.0000 1
Cr1 0.0000 0.5982 0.5000 1
P1 0.2037 0.2537 0.5753 1
S1 0.0000 0.1267 0.5000 1
S2 0.1502 0.4287 0.7171 1
S3 0.1614 0.6276 0.2282 1
S4 0.1777 0.7665 0.6727 1
# Formation energy (no corrections) = -0.55 eV per atom



[16]
# PBE KCrPS2, optimized geometry
data_KCrPS2
_chemical_formula_sum 'K1 Cr1 P1 S2'
_cell_length_a 5.5155
_cell_length_b 5.5155
_cell_length_c 5.6597
_cell_angle_alpha 90.00
_cell_angle_beta 90.00
_cell_angle_gamma 90.00
_space_group_name_H-M_alt 'P 4/m m m'
_space_group_IT_number 123
_space_group_name_Hall '-P 4 2'
loop_
_atom_site_label
_atom_site_fract_x
_atom_site_fract_y
_atom_site_fract_z
_atom_site_occupancy
K1 0.0000 0.0000 0.0000 1
Cr1 0.5000 0.5000 0.5000 1
P1 0.0000 0.0000 0.5000 1
S1 0.0000 0.5000 0.0000 1
# Formation energy (no corrections) = 1.58 eV per atom
# N(E_F) = 5.861 states/eV/f.u.



[17]
# PBE K3Cr2P3S12, optimized geometry
data_K3Cr2P3S12
_chemical_formula_sum 'K12 Cr8 P12 S48'
_cell_length_a 9.9981
_cell_length_b 12.7381
_cell_length_c 19.5663
_cell_angle_alpha 90.00
_cell_angle_beta 113.89
_cell_angle_gamma 90.00
_space_group_name_H-M_alt 'P 1 21/c 1'
_space_group_IT_number 14
loop_
_space_group_symop_operation_xyz
'x,y,z'
'-x,-y,-z'
'-x,y+1/2,-z+1/2'
'x,-y+1/2,z+1/2'
loop_
_atom_site_label
_atom_site_fract_x
_atom_site_fract_y
_atom_site_fract_z
_atom_site_occupancy
K1 0.1926 0.0884 0.1299 1
K2 0.2276 0.0579 0.4561 1
K3 0.2885 0.1155 0.7886 1
Cr1 0.2669 0.7416 0.2060 1
Cr2 0.2775 0.7233 0.3930 1
P1 0.0201 0.6422 0.2464 1
P2 0.2634 0.7325 0.5481 1
P3 0.4732 0.1762 0.6479 1
S1 0.1090 0.5881 0.1748 1
S2 0.1133 0.7056 0.7709 1
S3 0.1209 0.5711 0.3498 1
S4 0.1319 0.6615 0.5928 1
S5 0.1355 0.6923 0.9503 1
S6 0.1976 0.1397 0.2947 1
S7 0.2562 0.1695 0.6102 1
S8 0.3853 0.6339 0.5130 1
S9 0.3891 0.6700 0.1331 1
S10 0.4204 0.6068 0.7491 1
S11 0.4357 0.6702 0.3283 1
S12 0.4437 0.6295 0.9276 1
# Formation energy (no corrections) = -0.72 eV per atom



[18]
# PBE KCrPS2, optimized geometry
data_KCrPS2
_chemical_formula_sum 'K1 Cr1 P1 S2'
_cell_length_a 4.6911
_cell_length_b 4.6911
_cell_length_c 4.4985
_cell_angle_alpha 90.00
_cell_angle_beta 90.00
_cell_angle_gamma 90.00
_space_group_name_H-M_alt 'P 4/m m m'
_space_group_IT_number 123
_space_group_name_Hall '-P 4 2'
loop_
_atom_site_label
_atom_site_fract_x
_atom_site_fract_y
_atom_site_fract_z
_atom_site_occupancy
K1 0.0000 0.0000 0.0000 1
Cr1 0.5000 0.5000 0.5000 1
P1 0.5000 0.5000 0.0000 1
S1 0.0000 0.5000 0.5000 1
# Formation energy (no corrections) = -0.17 eV per atom
# N(E_F) = 4.484 states/eV/f.u.



[19]
# PBE KCrPSe2, optimized geometry
data_KCrPSe2
_chemical_formula_sum 'K1 Cr1 P1 Se2'
_cell_length_a 4.7457
_cell_length_b 4.7457
_cell_length_c 7.1801
_cell_angle_alpha 90.00
_cell_angle_beta 90.00
_cell_angle_gamma 90.00
_space_group_name_H-M_alt 'P 4/m m m'
_space_group_IT_number 123
_space_group_name_Hall '-P 4 2'
loop_
_atom_site_label
_atom_site_fract_x
_atom_site_fract_y
_atom_site_fract_z
_atom_site_occupancy
K1 0.0000 0.0000 0.0000 1
Cr1 0.0000 0.0000 0.5000 1
P1 0.5000 0.5000 0.0000 1
Se1 0.0000 0.5000 0.5000 1
# Formation energy (no corrections) = 0.40 eV per atom
# N(E_F) = 3.921 states/eV/f.u.



[20]
# PBE KCrPSe2, optimized geometry
data_KCrPSe2
_chemical_formula_sum 'K1 Cr1 P1 Se2'
_cell_length_a 5.4283
_cell_length_b 5.4283
_cell_length_c 5.0113
_cell_angle_alpha 90.00
_cell_angle_beta 90.00
_cell_angle_gamma 90.00
_space_group_name_H-M_alt 'P 4/m m m'
_space_group_IT_number 123
_space_group_name_Hall '-P 4 2'
loop_
_atom_site_label
_atom_site_fract_x
_atom_site_fract_y
_atom_site_fract_z
_atom_site_occupancy
K1 0.0000 0.0000 0.0000 1
Cr1 0.5000 0.5000 0.5000 1
P1 0.0000 0.0000 0.5000 1
Se1 0.0000 0.5000 0.0000 1
# Formation energy (no corrections) = 2.02 eV per atom
# N(E_F) = 9.905 states/eV/f.u.



Number 1: magnetic moment 3.71 μB/f.u., DFT total energy -5.36 eV/atom. Number 2: magnetic moment 2.68 μB/f.u., DFT total energy -5.59 eV/atom. Number 3: magnetic moment 1.00 μB/f.u., DFT total energy -5.61 eV/atom. Number 4: magnetic moment 0.16 μB/f.u., DFT total energy -5.21 eV/atom. Number 5: magnetic moment 2.77 μB/f.u., DFT total energy -5.48 eV/atom. Number 6: magnetic moment 0.00 μB/f.u., DFT total energy -6.34 eV/atom. Number 7: magnetic moment 4.05 μB/f.u., DFT total energy -4.08 eV/atom. Number 8: magnetic moment 2.57 μB/f.u., DFT total energy -5.57 eV/atom. Number 9: magnetic moment 0.00 μB/f.u., DFT total energy -5.52 eV/atom. Number 10: magnetic moment 4.05 μB/f.u., DFT total energy -4.81 eV/atom. Number 11: magnetic moment 4.00 μB/f.u., DFT total energy -4.84 eV/atom. Number 12: magnetic moment 3.77 μB/f.u., DFT total energy -4.79 eV/atom. Number 13: magnetic moment 0.00 μB/f.u., DFT total energy -5.49 eV/atom. Number 14: magnetic moment 1.00 μB/f.u., DFT total energy -4.27 eV/atom. Number 15: magnetic moment 3.00 μB/f.u., DFT total energy -5.14 eV/atom. Number 16: magnetic moment 0.08 μB/f.u., DFT total energy -3.29 eV/atom. Number 17: magnetic moment 6.00 μB/f.u., DFT total energy -5.14 eV/atom. Number 18: magnetic moment 0.00 μB/f.u., DFT total energy -5.05 eV/atom. Number 19: magnetic moment 0.38 μB/f.u., DFT total energy -4.22 eV/atom. Number 20: magnetic moment 0.19 μB/f.u., DFT total energy -2.60 eV/atom.